1.
The following is a PBE calculation of a relaxed BaO crystal, from Alexandria via LeMat-Bulk.

Properties
The value obtained for the total energy is -5.819 eV per atom. For the total magnetization, the calculation gives 0.00 μB per formula unit. The space group is No. 223. The raw formation energy comes out at -2.3781 eV/atom.

a b c (Å): 7.394 7.394 7.394
angles (deg): 90.00 90.00 90.00
Atoms (fractional coordinates):
Ba 0.000 0.250 0.500
Ba 0.000 0.750 0.500
Ba 0.250 0.500 0.000
Ba 0.500 0.000 0.250
Ba 0.500 0.000 0.750
Ba 0.750 0.500 0.000
O 0.000 0.500 0.250
O 0.000 0.500 0.750
O 0.250 0.000 0.500
O 0.500 0.250 0.000
O 0.500 0.750 0.000
O 0.750 0.000 0.500



2.
The following is a PBE calculation of a relaxed La3InSn crystal, from Alexandria via LeMat-Bulk.

Properties
For the calculated formation energy, the calculation gives -0.003 eV per atom. The value obtained for the total energy is -4.308 eV per atom. The energy above the most stable polymorph in this dataset is 443 meV per atom. For the total magnetization, the calculation gives 0.00 μB per formula unit. The space group is No. 221.

a b c (Å): 6.006 6.006 6.006
angles (deg): 90.00 90.00 90.00
Atoms (fractional coordinates):
La 0.000 0.000 0.500
La 0.000 0.500 0.000
La 0.500 0.000 0.000
In 0.500 0.500 0.500
Sn 0.000 0.000 0.000



3.
The following is a PBE calculation of a relaxed CuPPdCl2 crystal, from Alexandria via LeMat-Bulk.

Properties
The value obtained for the total energy is -3.202 eV per atom. The energy above the most stable polymorph in this dataset is 0 meV per atom. For the total magnetization, the calculation gives 0.66 μB per formula unit. The space group is No. 123. The raw formation energy comes out at 0.4764 eV/atom.

a b c (Å): 4.938 4.938 4.621
angles (deg): 90.00 90.00 90.00
Atoms (fractional coordinates):
Cu 0.000 0.000 0.000
P 0.500 0.500 0.000
Pd 0.500 0.500 0.500
Cl 0.000 0.500 0.500
Cl 0.500 0.000 0.500



4.
The following is a PBE calculation of a relaxed Ba4BePb crystal, from Alexandria via LeMat-Bulk.

Properties
For the calculated formation energy, the calculation gives 0.648 eV per atom. The value obtained for the total energy is -1.873 eV per atom. For the total magnetization, the calculation gives 0.00 μB per formula unit. The space group is No. 216.

a b c (Å): 7.210 7.210 7.210
angles (deg): 60.00 60.00 60.00
Atoms (fractional coordinates):
Ba 0.376 0.376 0.376
Ba 0.376 0.376 0.873
Ba 0.376 0.873 0.376
Ba 0.873 0.376 0.376
Be 0.000 0.000 0.000
Pb 0.750 0.750 0.750



5.
The following is a PBE calculation of a relaxed MgCr8 crystal, from Alexandria via LeMat-Bulk.

Properties
For the calculated formation energy, the calculation gives 0.394 eV per atom. The value obtained for the total energy is -8.337 eV per atom. For the total magnetization, the calculation gives 0.00 μB per formula unit. The space group is No. 139.

a b c (Å): 5.524 5.524 5.524
angles (deg): 98.77 98.77 134.02
Atoms (fractional coordinates):
Mg 0.000 0.000 0.000
Cr 0.000 0.347 0.347
Cr 0.000 0.653 0.653
Cr 0.330 0.330 0.660
Cr 0.330 0.670 0.000
Cr 0.347 0.000 0.347
Cr 0.653 0.000 0.653
Cr 0.670 0.330 0.000
Cr 0.670 0.670 0.340



6.
The following is a PBE calculation of a relaxed Be3CrSe crystal, from Alexandria via LeMat-Bulk.

Properties
The value obtained for the total energy is -3.485 eV per atom. The energy above the most stable polymorph in this dataset is 0 meV per atom. For the total magnetization, the calculation gives 2.00 μB per formula unit. The space group is No. 221. The raw formation energy comes out at 1.3723 eV/atom.

a b c (Å): 4.234 4.234 4.234
angles (deg): 90.00 90.00 90.00
Atoms (fractional coordinates):
Be 0.000 0.000 0.500
Be 0.000 0.500 0.000
Be 0.500 0.000 0.000
Cr 0.000 0.000 0.000
Se 0.500 0.500 0.500



7.
The following is a PBE calculation of a relaxed InPS2N crystal, from Alexandria via LeMat-Bulk.

Properties
The value obtained for the total energy is -3.572 eV per atom. The energy above the most stable polymorph in this dataset is 1037 meV per atom. For the total magnetization, the calculation gives 1.99 μB per formula unit. The space group is No. 123. The raw formation energy comes out at 1.3742 eV/atom.

a b c (Å): 5.251 5.251 4.248
angles (deg): 90.00 90.00 90.00
Atoms (fractional coordinates):
In 0.000 0.000 0.000
P 0.500 0.500 0.500
S 0.000 0.500 0.000
S 0.500 0.000 0.000
N 0.000 0.000 0.500



8.
The following is a PBE calculation of a relaxed SrDy4Si4 crystal, from Alexandria via LeMat-Bulk.

Properties
The value obtained for the total energy is -5.154 eV per atom. For the total magnetization, the calculation gives 0.00 μB per formula unit. The space group is No. 86. The raw formation energy comes out at -0.5119 eV/atom.

a b c (Å): 9.456 9.456 5.698
angles (deg): 90.00 90.00 90.00
Atoms (fractional coordinates):
Sr 0.250 0.250 0.250
Sr 0.750 0.750 0.750
Dy 0.114 0.631 0.128
Dy 0.131 0.886 0.628
Dy 0.369 0.614 0.628
Dy 0.386 0.869 0.128
Dy 0.614 0.131 0.872
Dy 0.631 0.386 0.372
Dy 0.869 0.114 0.372
Dy 0.886 0.369 0.872
Si 0.062 0.577 0.638
Si 0.077 0.938 0.138
Si 0.423 0.562 0.138
Si 0.438 0.923 0.638
Si 0.562 0.077 0.362
Si 0.577 0.438 0.862
Si 0.923 0.062 0.862
Si 0.938 0.423 0.362